Compound: MnV2SiO6
Source: the Alexandria database
Functional: PBE with a Hubbard U
Structure: relaxed

Properties
The space group is P1. The calculated density comes out at 4.6 g/cm3. The calculation puts the total DFT energy (no corrections) at -76.93 eV for the cell shown. Its crystal system is triclinic.

abc: 4.9697 5.1086 5.4929
angles: 60.95 62.21 60.41
Closest atoms and distances in Å follow each position.
Sites, in units of the cell vectors:
O: 0.1313 0.4078 0.7683  1 Si 1.88, 2 V 2.04, 1 Mn 2.06
O: 0.5762 0.2239 0.2371  1 Si 1.78
O: 0.4088 0.6932 0.7749  1 Si 1.85, 1 V 2.01, 1 Mn 2.02
O: 0.9612 0.5645 0.2252  1 Si 1.77
O: 0.6912 0.1412 0.7738  1 Si 1.86, 2 V 1.96-2.08
O: 0.2300 0.9568 0.2313  1 Si 1.81, 1 V 2.03
Mn: 0.8077 0.8192 0.5735  5 O 2.02-2.22
Si: 0.3224 0.3225 0.0371  6 O 1.77-1.88
V: 0.5169 0.5258 0.4354  6 O 2.02-2.16
V: 0.0158 0.0067 0.9586  6 O 1.96-2.12